Here is a PBEsol-optimized structure of BaBe2 from Alexandria. Energies are from meta-GGA SCAN.

```
6
Lattice="-0.683 -3.756 0.209 1.128 0.138 6.181 -5.457 2.856 -1.478" Properties=species:S:1:pos:R:3 pbc="T T T"
Ba -1.491 -1.461 3.842
Ba -3.520 0.700 1.070
Be -3.828 0.937 4.334
Be -1.184 -1.698 0.578
Be -4.909 -0.835 3.920
Be -0.103 0.074 0.992
```

Calculated values
Uncorrected energy in eV/atom: -15.7002
Symmetry: C2/m (12)
DOS at the Fermi energy in states/eV per atom: 0.517

=====

Here is a PBEsol-optimized structure of BaBe from Alexandria. Energies are from meta-GGA SCAN.

```
4
Lattice="4.251 0.000 0.000 0.000 5.490 0.000 0.000 -2.745 4.755" Properties=species:S:1:pos:R:3 pbc="T T T"
Ba 1.063 0.000 3.170
Ba 3.188 2.745 1.585
Be 3.188 0.000 0.000
Be 1.063 0.000 0.000
```

Calculated values
Offset from the most stable computed form in meV per atom: 0
Uncorrected energy in eV/atom: -21.6292
Symmetry: P6_3/mmc (194)
DOS at the Fermi energy in states/eV per atom: 1.091

=====

Here is a PBEsol-optimized structure of Ba5Be from Alexandria. Energies are from meta-GGA SCAN.

```
6
Lattice="4.094 0.000 0.000 0.000 4.094 0.000 0.000 0.000 17.073" Properties=species:S:1:pos:R:3 pbc="T T T"
Ba 2.047 2.047 11.856
Ba 2.047 2.047 5.217
Ba 0.000 0.000 8.536
Ba 0.000 0.000 1.798
Ba 0.000 0.000 15.275
Be 2.047 2.047 0.000
```

Calculated values
Offset from the most stable computed form in meV per atom: 0
Uncorrected energy in eV/atom: -33.4780
Symmetry: P4/mmm (123)
DOS at the Fermi energy in states/eV per atom: 1.104

=====

Here is a PBEsol-optimized structure of BaBe from Alexandria. Energies are from meta-GGA SCAN.

```
2
Lattice="-0.689 3.824 0.072 -1.144 -0.136 -3.711 -3.649 -0.679 1.150" Properties=species:S:1:pos:R:3 pbc="T T T"
Be 0.000 0.000 0.000
Ba -2.741 1.504 -1.244
```

Calculated values
Offset from the most stable computed form in meV per atom: 280
Uncorrected energy in eV/atom: -21.3495
Symmetry: Pm-3m (221)
DOS at the Fermi energy in states/eV per atom: 0.706